[1]
DFT (PBE) results for a relaxed structure of In2HgTe.

abc: 3.4982 3.4982 33.1563
angles: 90.00 90.00 120.00
Space group R3m (No. 160, hexagonal axes)
One atom of each set of equivalent atoms:
In (0.0000, 0.0000, 0.0000) [3 per cell]
In (0.0000, 0.0000, 0.2474) [3 per cell]
Hg (0.0000, 0.0000, 0.4979) [3 per cell]
Te (0.0000, 0.0000, 0.7406) [3 per cell]

DOS at the Fermi energy: 0.30 states/eV per atom
uncorrected formation energy: 20 kJ/mol of formula units
total moment: 0.00 μB/cell
uncorrected energy: -2.179 eV per atom

---

[2]
DFT (PBE) results for a relaxed structure of In2HgTe.

abc: 7.843 7.843 7.843
angles: 90.00 90.00 90.00
Space group Fm-3m (No. 225)
One atom of each set of equivalent atoms:
In (0.250, 0.250, 0.250) [8 per cell]
Hg (0.000, 0.000, 0.000) [4 per cell]
Te (0.000, 0.000, 0.500) [4 per cell]

DOS at the Fermi energy: 0.22 states/eV per atom
uncorrected formation energy: -33 kJ/mol of formula units
total moment: 0.00 μB/cell
uncorrected energy: -2.315 eV per atom

---

[3]
DFT (PBE) results for a relaxed structure of InHg2Te.

abc: 4.080 4.080 8.259
angles: 90.00 90.00 90.00
Space group P4mm (No. 99)
One atom of each set of equivalent atoms:
In (0.000, 0.000, 0.000) [1 per cell]
Hg (0.000, 0.000, 0.649) [1 per cell]
Hg (0.500, 0.500, 0.502) [1 per cell]
Te (0.500, 0.500, 0.118) [1 per cell]

DOS at the Fermi energy: 0.29 states/eV per atom
uncorrected formation energy: -28 kJ/mol of formula units
total moment: 0.00 μB/cell
uncorrected energy: -1.694 eV per atom

---

[4]
DFT (PBE) results for a relaxed structure of In3HgTe.

abc: 7.612 4.344 9.947
angles: 90.00 99.64 90.00
Space group P2_1/m (No. 11)
One atom of each set of equivalent atoms:
In (0.033, 0.250, 0.211) [2 per cell]
In (0.152, 0.750, 0.521) [2 per cell]
In (0.426, 0.750, 0.811) [2 per cell]
Hg (0.378, 0.250, 0.427) [2 per cell]
Te (0.240, 0.250, 0.959) [2 per cell]

DOS at the Fermi energy: 0.25 states/eV per atom
uncorrected formation energy: -24 kJ/mol of formula units
total moment: 0.00 μB/cell
uncorrected energy: -2.382 eV per atom

---

[5]
DFT (PBE) results for a relaxed structure of In2Hg2Te.

abc: 4.2375 4.2375 9.9832
angles: 90.00 90.00 120.00
Space group P-3m1 (No. 164)
One atom of each set of equivalent atoms:
In (0.3333, 0.6667, 0.3059) [2 per cell]
Hg (0.3333, 0.6667, 0.8984) [2 per cell]
Te (0.0000, 0.0000, 0.5000) [1 per cell]

DOS at the Fermi energy: 0.31 states/eV per atom
uncorrected formation energy: -50 kJ/mol of formula units
total moment: 0.00 μB/cell
uncorrected energy: -1.948 eV per atom

---

[6]
DFT (PBE) results for a relaxed structure of InHgTe3.

abc: 5.679 5.679 5.679
angles: 90.00 90.00 90.00
Space group Pm-3m (No. 221)
One atom of each set of equivalent atoms:
In (0.000, 0.000, 0.000) [1 per cell]
Hg (0.500, 0.500, 0.500) [1 per cell]
Te (0.000, 0.500, 0.500) [3 per cell]

DOS at the Fermi energy: 0.90 states/eV per atom
uncorrected formation energy: 176 kJ/mol of formula units
total moment: 0.00 μB/cell
uncorrected energy: -2.128 eV per atom

---

[7]
DFT (PBE) results for a relaxed structure of In3HgTe2.

abc: 4.539 6.327 13.055
angles: 90.00 90.00 90.00
Space group Immm (No. 71)
One atom of each set of equivalent atoms:
In (0.000, 0.000, 0.000) [2 per cell]
In (0.000, 0.000, 0.333) [4 per cell]
Hg (0.000, 0.500, 0.000) [2 per cell]
Te (0.000, 0.500, 0.328) [4 per cell]

DOS at the Fermi energy: 0.44 states/eV per atom
uncorrected formation energy: -101 kJ/mol of formula units
total moment: 0.00 μB/cell
uncorrected energy: -2.642 eV per atom

---

[8]
DFT (PBE) results for a relaxed structure of In6HgTe3.

abc: 12.315 11.888 8.968
angles: 90.00 90.00 90.00
Space group Cmc2_1 (No. 36)
One atom of each set of equivalent atoms:
In (0.000, 0.045, 0.000) [4 per cell]
In (0.000, 0.219, 0.306) [4 per cell]
In (0.148, 0.280, 0.900) [8 per cell]
In (0.169, 0.388, 0.490) [8 per cell]
Hg (0.000, 0.191, 0.648) [4 per cell]
Te (0.000, 0.437, 0.086) [4 per cell]
Te (0.200, 0.040, 0.271) [8 per cell]

DOS at the Fermi energy: 0.24 states/eV per atom
uncorrected formation energy: -121 kJ/mol of formula units
total moment: 0.00 μB/cell
uncorrected energy: -2.741 eV per atom

---

Q: uncorrected formation energy of number 4 (In3HgTe)?
A: -24 kJ/mol of formula units

---

Repeat the first record exactly.
DFT (PBE) results for a relaxed structure of In2HgTe.

abc: 3.4982 3.4982 33.1563
angles: 90.00 90.00 120.00
Space group R3m (No. 160, hexagonal axes)
One atom of each set of equivalent atoms:
In (0.0000, 0.0000, 0.0000) [3 per cell]
In (0.0000, 0.0000, 0.2474) [3 per cell]
Hg (0.0000, 0.0000, 0.4979) [3 per cell]
Te (0.0000, 0.0000, 0.7406) [3 per cell]

DOS at the Fermi energy: 0.30 states/eV per atom
uncorrected formation energy: 20 kJ/mol of formula units
total moment: 0.00 μB/cell
uncorrected energy: -2.179 eV per atom

---

Q: What is the uncorrected energy in the fifth record?
A: -1.948 eV per atom